No. 1
Zn5Si: optimized geometry, PBE.

* DFT total energy: -10.926 eV per formula unit
* uncorrected formation energy: 0.1445 eV/atom

```
Zn5Si
1.0
2.789 0.000 0.000
0.000 2.789 0.000
0.000 0.000 11.742
Zn Si
5 1
Cartesian
0.000 0.000 0.000 Zn
0.000 0.000 3.869 Zn
0.000 0.000 7.873 Zn
1.395 1.395 1.913 Zn
1.395 1.395 9.829 Zn
1.395 1.395 5.871 Si
```

No. 2
Fe3SnBi: optimized geometry, PBE.

* DFT total energy: -27.352 eV per formula unit
* formation energy: 5.9 eV per formula unit

```
Fe3SnBi
1.0
4.787 0.000 0.000
0.000 4.787 0.000
0.000 0.000 4.787
Fe Sn Bi
3 1 1
Cartesian
0.000 0.000 2.393 Fe
0.000 2.393 0.000 Fe
2.393 0.000 0.000 Fe
0.000 0.000 0.000 Sn
2.393 2.393 2.393 Bi
```

No. 3
CrHPd3: optimized geometry, PBE.

* DFT total energy: -28.483 eV per formula unit

```
CrHPd3
1.0
4.791 0.000 0.000
0.970 4.856 0.000
0.240 1.911 5.294
Cr H Pd
2 2 6
Cartesian
0.738 1.830 0.729 Cr
5.263 4.937 4.565 Cr
3.458 6.176 3.924 H
2.543 0.591 1.371 H
0.946 2.504 3.626 Pd
2.609 4.743 2.992 Pd
2.586 3.761 0.336 Pd
3.415 3.006 4.958 Pd
3.392 2.024 2.302 Pd
5.055 4.263 1.669 Pd
```